Compound: BaMnSi
Source: Alexandria via LeMat-Bulk
Functional: PBE-GGA
Structure: relaxed

The structure in extended XYZ format:
```
3
Lattice="-3.607 -3.525 4.012 1.167 -4.544 4.418 1.443 5.764 -2.495" Properties=species:S:1:pos:R:3 pbc="T T T"
Mn -0.663 -2.193 2.291
Si -1.770 -5.855 6.117
Ba -0.006 -0.021 0.022
```

Values from the calculation:
Formation energy from raw total energies in eV/atom: 0.13
Total magnetization in μB/cell: 2.75
Space-group type: I4mm, No. 107

=====

Compound: BaMnSi
Source: Alexandria via LeMat-Bulk
Functional: PBE-GGA
Structure: relaxed

The structure in extended XYZ format:
```
3
Lattice="-1.790 0.667 -4.545 -4.218 -2.177 -1.332 -4.066 2.707 -0.675" Properties=species:S:1:pos:R:3 pbc="T T T"
Si 0.000 0.000 0.000
Mn -7.556 0.898 -4.915
Ba -5.037 0.598 -3.277
```

Values from the calculation:
Formation energy from raw total energies in eV/atom: 0.44
Total magnetization in μB/cell: 4.83
Space-group type: F-43m, No. 216

=====

Compound: BaMnSi2
Source: Alexandria via LeMat-Bulk
Functional: PBE-GGA
Structure: relaxed

The structure in extended XYZ format:
```
4
Lattice="5.458 -0.184 -0.045 -0.159 5.459 0.045 -1.498 -3.795 3.631" Properties=species:S:1:pos:R:3 pbc="T T T"
Si 0.498 0.496 0.000
Si 2.152 2.142 0.000
Mn 0.496 2.151 1.838
Ba 3.305 -0.671 1.793
```

Values from the calculation:
Formation energy from raw total energies in eV/atom: 0.04
Total magnetization in μB/cell: 3.73
Space-group type: Immm, No. 71

=====

Compound: BaMnSi2
Source: Alexandria via LeMat-Bulk
Functional: PBE-GGA
Structure: relaxed

The structure in extended XYZ format:
```
4
Lattice="-3.493 -1.924 -1.617 2.159 -1.597 -2.762 1.692 -5.261 2.604" Properties=species:S:1:pos:R:3 pbc="T T T"
Mn 1.141 -6.105 -0.927
Si 3.546 -6.148 -0.346
Si 2.229 -4.139 0.110
Ba -0.784 -2.676 -0.848
```

Values from the calculation:
Formation energy from raw total energies in eV/atom: 0.01
Total magnetization in μB/cell: 3.73
Space-group type: P2/m, No. 10

=====

Compound: BaMnSi2
Source: Alexandria via LeMat-Bulk
Functional: PBE-GGA
Structure: relaxed

The structure in extended XYZ format:
```
4
Lattice="-1.275 5.142 -1.756 0.019 -3.442 -4.393 -3.032 -0.597 0.454" Properties=species:S:1:pos:R:3 pbc="T T T"
Si 0.000 0.000 0.000
Si -0.628 0.850 -3.074
Mn -1.507 -2.019 -1.969
Ba -2.154 2.273 -0.651
```

Values from the calculation:
Formation energy from raw total energies in eV/atom: 0.61
Total magnetization in μB/cell: 4.08
Space-group type: Cmmm, No. 65

=====

Compound: BaMnSi2
Source: Alexandria via LeMat-Bulk
Functional: PBE-GGA
Structure: relaxed

The structure in extended XYZ format:
```
4
Lattice="4.113 0.005 0.014 2.066 3.556 0.014 2.039 1.175 6.278" Properties=species:S:1:pos:R:3 pbc="T T T"
Mn 2.058 1.186 0.111
Ba 4.116 2.372 3.024
Si 6.154 3.547 5.648
Si 6.179 3.561 0.705
```

Values from the calculation:
Formation energy from raw total energies in eV/atom: -0.13
Total magnetization in μB/cell: 2.76
Space-group type: Cm, No. 8

=====

Compound: BaMnZnSi2
Source: Alexandria via LeMat-Bulk
Functional: PBE-GGA
Structure: relaxed

The structure in extended XYZ format:
```
5
Lattice="-4.316 -1.337 0.085 1.319 -4.191 1.057 -0.253 1.119 4.754" Properties=species:S:1:pos:R:3 pbc="T T T"
Mn 0.000 0.000 0.000
Si 0.660 -2.095 0.528
Si -2.158 -0.668 0.042
Ba -1.625 -2.204 2.948
Zn -0.127 0.559 2.377
```

Values from the calculation:
Formation energy from raw total energies in eV/atom: -0.20
Total magnetization in μB/cell: 0.00
Space-group type: P4/mmm, No. 123

=====

Compound: BaSmMnTe4
Source: Alexandria via LeMat-Bulk
Functional: PBE-GGA
Structure: relaxed

The structure in extended XYZ format:
```
14
Lattice="7.826 0.000 0.081 0.000 6.535 0.000 -2.983 0.000 9.217" Properties=species:S:1:pos:R:3 pbc="T T T"
Mn 3.758 1.634 6.308
Mn 1.085 4.901 2.990
Te 1.813 1.634 8.081
Te -2.018 3.321 6.654
Te -2.018 6.482 6.654
Te 6.861 3.214 2.644
Te 1.596 4.901 5.571
Te 3.248 1.634 3.726
Te 3.030 4.901 1.217
Te 6.861 0.053 2.644
Sm 4.432 4.901 4.105
Sm 0.412 1.634 5.193
Ba 1.776 1.634 0.574
Ba 3.068 4.901 8.724
```

Values from the calculation:
Formation energy from raw total energies in eV/atom: -1.05
Total magnetization in μB/cell: 9.63
Space-group type: P2_1/m, No. 11